Entry 1:
# Rb3In9Hg2

A relaxed Rb3In9Hg2 crystal (GGA-PBE, Alexandria via LeMat-Bulk).

Cell and atoms, written as POSCAR:
```
Rb3In9Hg2
1.0
-2.623 5.548 7.623
2.623 -5.548 7.623
2.623 5.548 -7.623
Rb In Hg
3 9 2
direct
0.000 0.000 0.000 Rb
0.303 0.303 0.000 Rb
0.697 0.697 0.000 Rb
0.025 0.664 0.361 In
0.139 0.860 0.279 In
0.303 0.664 0.639 In
0.419 0.140 0.279 In
0.500 0.000 0.500 In
0.581 0.860 0.721 In
0.697 0.336 0.361 In
0.861 0.140 0.721 In
0.975 0.336 0.639 In
0.307 0.500 0.807 Hg
0.693 0.500 0.193 Hg
```

## Properties
Calculated formation energy in eV/atom: -0.079
Calculated total energy in eV/cell: -29.261
Magnetic moment in μB/f.u.: 0.0
Symmetry: No. 71

=====

Entry 2:
# Gd2GaSi

A relaxed Gd2GaSi crystal (GGA-PBE, Alexandria via LeMat-Bulk).

Cell and atoms, written as POSCAR:
```
Gd2GaSi
1.0
4.744 0.000 0.000
0.000 4.744 0.000
0.000 0.000 4.036
Gd Ga Si
2 1 1
direct
0.000 0.500 0.000 Gd
0.500 0.000 0.000 Gd
0.000 0.000 0.500 Ga
0.500 0.500 0.500 Si
```

## Properties
Uncorrected formation energy in meV per atom: -547
Calculated total energy in eV/cell: -38.801
Magnetic moment in μB/f.u.: 14.4
Symmetry: No. 123

=====

Entry 3:
# La2TcAu

A relaxed La2TcAu crystal (GGA-PBE, Alexandria via LeMat-Bulk).

Cell and atoms, written as POSCAR:
```
La2TcAu
1.0
7.657 0.000 0.000
0.000 3.652 0.000
-1.537 0.000 7.747
La Tc Au
4 2 2
direct
0.250 0.000 0.219 La
0.250 0.500 0.781 La
0.750 0.000 0.781 La
0.750 0.500 0.219 La
0.000 0.500 0.000 Tc
0.500 0.000 0.000 Tc
0.000 0.000 0.500 Au
0.500 0.500 0.500 Au
```

## Properties
Calculated formation energy in eV/atom: -0.097
Calculated total energy in eV/cell: -47.769
Magnetic moment in μB/f.u.: 0.0
Symmetry: No. 12

=====

Entry 4:
# BaAlMo

A relaxed BaAlMo crystal (GGA-PBE, Alexandria via LeMat-Bulk).

Cell and atoms, written as POSCAR:
```
BaAlMo
1.0
3.613 0.000 0.000
0.000 3.613 0.000
0.000 0.000 12.052
Ba Al Mo
2 2 2
direct
0.000 0.000 0.000 Ba
0.500 0.500 0.500 Ba
0.000 0.000 0.263 Al
0.500 0.500 0.763 Al
0.000 0.000 0.722 Mo
0.500 0.500 0.222 Mo
```

## Properties
Calculated formation energy in eV/atom: 0.478
Calculated total energy in eV/cell: -30.125
Magnetic moment in μB/f.u.: 0.0
Symmetry: No. 107